This record from the Alexandria database describes a relaxed PRuSe crystal. The functional is GGA-PBE.

Unit cell a=5.3609 b=3.6478 c=5.9606 alpha=90.00 beta=114.24 gamma=90.00
With the nearest neighbours (Å) after each atom.
Fractional positions:
Se1 0.1010 0.0000 0.5152  1 P 2.55, 3 Ru 2.55-2.66
Se2 0.5990 0.5000 0.0860  1 P 2.34, 3 Ru 2.53-2.55
Ru1 0.9100 0.0000 0.0462  3 P 2.29-2.47, 3 Se 2.55
Ru2 0.3872 0.5000 0.3959  3 P 2.32-2.35, 1 Se 2.53
P1 0.1259 0.5000 0.9753  3 Ru 2.29-2.32, 1 Se 2.34
P2 0.6686 0.0000 0.5938  3 Ru 2.35-2.47, 1 Se 2.55

For the calculated volume, the calculation gives 106 Å³/cell. Its density of states at the Fermi level is 0.8 states/eV/f.u. The calculation puts the uncorrected formation energy at -179 meV per atom. Its space group is Pm, No. 6. As for the total DFT energy (no corrections): -6.24 eV/atom.


This record from the Alexandria database describes a relaxed PRuSe crystal. The functional is GGA-PBE.

Unit cell a=7.5423 b=3.3508 c=10.9279 alpha=90.00 beta=132.25 gamma=90.00
With the nearest neighbours (Å) after each atom.
Fractional positions:
Se1 0.4204 0.5000 0.9513  1 P 2.33, 2 Ru 2.46-2.52
Se2 0.4204 0.0000 0.4513  1 P 2.33, 2 Ru 2.46-2.52
Se3 0.6317 0.5000 0.3153  1 P 2.38, 3 Ru 2.53-2.66
Se4 0.6317 0.0000 0.8153  1 P 2.38, 3 Ru 2.53-2.66
Ru1 0.2011 0.0000 0.5443  4 P 2.42-2.44, 2 Se 2.46-2.53
Ru2 0.8447 0.5000 0.0691  3 P 2.30-2.35, 1 Se 2.52
Ru3 0.2011 0.5000 0.0443  4 P 2.42-2.44, 2 Se 2.46-2.53
Ru4 0.8447 0.0000 0.5691  3 P 2.30-2.35, 1 Se 2.52
P1 0.9611 0.5000 0.3296  3 Ru 2.35-2.42, 1 Se 2.38
P2 0.1203 0.0000 0.1635  4 Ru 2.30-2.44, 1 Se 2.33
P3 0.9611 0.0000 0.8296  3 Ru 2.35-2.42, 1 Se 2.38
P4 0.1203 0.5000 0.6635  4 Ru 2.30-2.44, 1 Se 2.33

For the calculated volume, the calculation gives 204 Å³/cell. Its density of states at the Fermi level is 1.2 states/eV/f.u. The calculation puts the uncorrected formation energy at -245 meV per atom. Its space group is Cm, No. 8. As for the total DFT energy (no corrections): -6.30 eV/atom.


This record from the Alexandria database describes a relaxed PRuSe crystal. The functional is GGA-PBE.

Unit cell a=3.7538 b=4.7441 c=6.0127 alpha=83.97 beta=82.25 gamma=89.54
With the nearest neighbours (Å) after each atom.
Fractional positions:
Se1 0.1435 0.3976 0.5376  1 P 2.34, 2 Ru 2.52-2.56
Se2 0.8277 0.6004 0.0346  1 P 2.37, 3 Ru 2.53-2.58
P1 0.7738 0.9784 0.2643  3 Ru 2.33-2.40, 1 Se 2.37
P2 0.3774 0.0767 0.8036  3 Ru 2.28-2.39, 1 Se 2.34
Ru1 0.2984 0.2489 0.1466  3 P 2.28-2.35, 2 Se 2.52-2.53
Ru2 0.8971 0.8772 0.6465  3 P 2.29-2.40, 2 Se 2.54-2.56

For the calculated volume, the calculation gives 106 Å³/cell. Its density of states at the Fermi level is 1.6 states/eV/f.u. The calculation puts the uncorrected formation energy at -270 meV per atom. Its space group is P1, No. 1. As for the total DFT energy (no corrections): -6.33 eV/atom.


This record from the Alexandria database describes a relaxed PRu2Se crystal. The functional is GGA-PBE.

Unit cell a=5.3137 b=5.3137 c=6.6045 alpha=66.28 beta=66.28 gamma=90.00
With the nearest neighbours (Å) after each atom.
Fractional positions:
Se1 0.7500 0.2500 0.5000  4 Ru 2.41
Se2 0.0000 0.0000 0.0000  4 Ru 2.41
Ru1 0.3750 0.4031 0.7500  2 P 2.24, 2 Se 2.41
Ru2 0.1531 0.6250 0.2500  2 P 2.24, 2 Se 2.41
Ru3 0.5969 0.1250 0.2500  2 P 2.24, 2 Se 2.41
Ru4 0.8750 0.8469 0.7500  2 P 2.24, 2 Se 2.41
P1 0.2500 0.7500 0.5000  4 Ru 2.24
P2 0.5000 0.5000 0.0000  4 Ru 2.24

For the calculated volume, the calculation gives 153 Å³/cell. Its density of states at the Fermi level is 1.8 states/eV/f.u. The calculation puts the uncorrected formation energy at -110 meV per atom. Its space group is I-42d, No. 122. As for the total DFT energy (no corrections): -6.97 eV/atom.


This record from the Alexandria database describes a relaxed PRu2Se crystal. The functional is GGA-PBE.

Unit cell a=9.4894 b=9.4894 c=9.4894 alpha=18.01 beta=18.01 gamma=18.01
With the nearest neighbours (Å) after each atom.
Fractional positions:
P1 0.2757 0.2757 0.2757  3 Ru 2.33
Ru1 0.7485 0.7485 0.7485  3 Se 2.44
Ru2 0.9987 0.9987 0.9987  3 P 2.33
Se1 0.4771 0.4771 0.4771  3 Ru 2.44

For the calculated volume, the calculation gives 71 Å³/cell. Its density of states at the Fermi level is 4.6 states/eV/f.u. The calculation puts the uncorrected formation energy at 50 meV per atom. Its space group is R3m, No. 160. As for the total DFT energy (no corrections): -6.81 eV/atom.


This record from the Alexandria database describes a relaxed PRu2Se crystal. The functional is GGA-PBE.

Unit cell a=4.3065 b=4.3065 c=4.3065 alpha=60.00 beta=60.00 gamma=60.00
With the nearest neighbours (Å) after each atom.
Fractional positions:
Ru1 0.2500 0.2500 0.2500  4 Se 2.64, 4 P 2.64
Ru2 0.7500 0.7500 0.7500  4 Se 2.64, 4 P 2.64
P1 0.0000 0.0000 0.0000  8 Ru 2.64
Se1 0.5000 0.5000 0.5000  8 Ru 2.64

For the calculated volume, the calculation gives 56 Å³/cell. Its density of states at the Fermi level is 5.2 states/eV/f.u. The calculation puts the uncorrected formation energy at 100 meV per atom. Its space group is Fm-3m, No. 225. As for the total DFT energy (no corrections): -6.76 eV/atom.


This record from the Alexandria database describes a relaxed PRuSe crystal. The functional is GGA-PBE.

Unit cell a=2.9662 b=6.0043 c=5.9935 alpha=90.00 beta=104.47 gamma=90.00
With the nearest neighbours (Å) after each atom.
Fractional positions:
P1 0.2800 0.7110 0.0593  3 Ru 2.29-2.33, 1 Se 2.44
P2 0.7200 0.2110 0.9407  3 Ru 2.29-2.33, 1 Se 2.44
Ru1 0.3542 0.3493 0.2065  3 P 2.29-2.33, 2 Se 2.47-2.52
Ru2 0.6458 0.8493 0.7935  3 P 2.29-2.33, 2 Se 2.47-2.52
Se1 0.4418 0.9732 0.3794  1 P 2.44, 2 Ru 2.47-2.52
Se2 0.5582 0.4732 0.6206  1 P 2.44, 2 Ru 2.47-2.52

For the calculated volume, the calculation gives 103 Å³/cell. Its density of states at the Fermi level is 0.4 states/eV/f.u. The calculation puts the uncorrected formation energy at -350 meV per atom. Its space group is P2_1, No. 4. As for the total DFT energy (no corrections): -6.41 eV/atom.


This record from the Alexandria database describes a relaxed PRu3Se crystal. The functional is GGA-PBE.

Unit cell a=4.3868 b=4.3868 c=4.3868 alpha=90.00 beta=90.00 gamma=90.00
With the nearest neighbours (Å) after each atom.
Fractional positions:
Ru1 0.0000 0.0000 0.5000  2 P 2.19
Ru2 0.5000 0.0000 0.0000  2 P 2.19
Ru3 0.0000 0.5000 0.0000  2 P 2.19
Se1 0.5000 0.5000 0.5000  12 Ru 3.10
P1 0.0000 0.0000 0.0000  6 Ru 2.19

For the calculated volume, the calculation gives 84 Å³/cell. Its density of states at the Fermi level is 6.4 states/eV/f.u. The calculation puts the uncorrected formation energy at 594 meV per atom. Its distance to the lowest polymorph of the same formula is 0.0000 eV/atom. Its space group is Pm-3m, No. 221. As for the total DFT energy (no corrections): -6.75 eV/atom.